VASP calculation (PBE-GGA) on SrCu3Ni3 after structural relaxation.

Lattice parameters (Å, degrees): 6.417 6.417 6.417 90.00 90.00 90.00
Site moments in Bohr magnetons follow the coordinates.
Element x y z (fractional)
Sr: 0.500 0.500 0.500  -0.01
Sr: 0.000 0.000 0.000  -0.01
Cu: 0.000 0.250 0.500  0.07
Cu: 0.000 0.750 0.500  0.07
Cu: 0.500 0.000 0.750  0.07
Cu: 0.750 0.500 0.000  0.07
Cu: 0.500 0.000 0.250  0.07
Cu: 0.250 0.500 0.000  0.07
Ni: 0.250 0.000 0.500  0.25
Ni: 0.000 0.500 0.250  0.25
Ni: 0.500 0.750 0.000  0.25
Ni: 0.750 0.000 0.500  0.25
Ni: 0.000 0.500 0.750  0.25
Ni: 0.500 0.250 0.000  0.25

Calculated values
E: -55.87 eV per cell
volume: 132 Å³/f.u.
SG: No. 223
formation energy: 0.4828 eV/atom
crystal system: cubic
density: 5.71 g/cm3


VASP calculation (PBE-GGA) on AgAs2SeCl after structural relaxation.

Lattice parameters (Å, degrees): 4.864 4.864 5.244 90.00 90.00 90.00
Site moments in Bohr magnetons follow the coordinates.
Element x y z (fractional)
As: 0.000 0.500 0.000  0.16
As: 0.500 0.000 0.000  0.16
Se: 0.000 0.000 0.500  0.04
Ag: 0.500 0.500 0.500  0.02
Cl: 0.000 0.000 0.000  0.00

Calculated values
ΔE_f (raw): 1.037 eV/atom
E: -12.30 eV per cell
volume: 124 Å³/f.u.
SG: No. 123
crystal system: tetragonal
density: 4.98 g/cm3


VASP calculation (PBE-GGA) on Sm4SiHS2 after structural relaxation.

Lattice parameters (Å, degrees): 5.676 5.676 6.984 114.10 114.10 89.73
Element x y z (fractional)
Sm: 0.959 0.436 0.000
Sm: 0.436 0.959 0.000
Sm: 0.187 0.187 0.494
Sm: 0.693 0.693 0.506
Si: 0.936 0.936 0.000
H: 0.406 0.406 0.000
S: 0.190 0.690 0.500
S: 0.690 0.190 0.500

Calculated values
E: -46.01 eV per cell
volume: 184 Å³/f.u.
SG: No. 42
crystal system: orthorhombic
density: 6.27 g/cm3


VASP calculation (PBE-GGA) on LaSc2Zn2 after structural relaxation.

Lattice parameters (Å, degrees): 8.361 8.361 3.156 90.00 90.00 90.00
Element x y z (fractional)
Sc: 0.370 0.870 0.000
Sc: 0.870 0.630 0.000
Sc: 0.630 0.130 0.000
Sc: 0.130 0.370 0.000
Zn: 0.167 0.667 0.500
Zn: 0.667 0.833 0.500
Zn: 0.833 0.333 0.500
Zn: 0.333 0.167 0.500
La: 0.000 0.000 0.000
La: 0.500 0.500 0.000

Calculated values
E: -42.23 eV per cell
volume: 110 Å³/f.u.
SG: No. 127
formation energy: -0.1954 eV/atom
crystal system: tetragonal
density: 5.41 g/cm3


VASP calculation (PBE-GGA) on HoCI after structural relaxation.

Lattice parameters (Å, degrees): 7.931 7.931 6.182 67.08 67.08 101.07
Element x y z (fractional)
C: 0.010 0.773 0.623
C: 0.010 0.774 0.840
C: 0.774 0.010 0.340
C: 0.773 0.010 0.123
Ho: 0.869 0.393 0.992
Ho: 0.983 0.831 0.216
Ho: 0.393 0.869 0.492
Ho: 0.831 0.983 0.716
I: 0.423 0.281 0.270
I: 0.281 0.423 0.770
I: 0.782 0.384 0.540
I: 0.384 0.782 0.040

Calculated values
ΔE_f (raw): -0.568 eV/atom
E: -68.23 eV per cell
volume: 75 Å³/f.u.
SG: No. 9
crystal system: monoclinic
density: 6.69 g/cm3


VASP calculation (PBE-GGA) on SmTm6Th3 after structural relaxation.

Lattice parameters (Å, degrees): 3.492 13.014 16.184 121.35 90.00 90.00
Element x y z (fractional)
Sm: 0.750 0.116 0.697
Sm: 0.250 0.884 0.303
Tm: 0.750 0.603 0.710
Tm: 0.250 0.397 0.290
Tm: 0.750 0.857 0.094
Tm: 0.250 0.143 0.906
Tm: 0.750 0.387 0.101
Tm: 0.250 0.613 0.899
Tm: 0.750 0.650 0.309
Tm: 0.250 0.350 0.691
Tm: 0.750 0.130 0.489
Tm: 0.250 0.870 0.511
Tm: 0.750 0.885 0.723
Tm: 0.250 0.115 0.277
Th: 0.750 0.386 0.895
Th: 0.250 0.614 0.105
Th: 0.750 0.620 0.504
Th: 0.250 0.380 0.496
Th: 0.750 0.126 0.091
Th: 0.250 0.874 0.909

Calculated values
E: -106.01 eV per cell
volume: 314 Å³/f.u.
SG: No. 11
formation energy: 0.0803 eV/atom
crystal system: monoclinic
density: 9.84 g/cm3


VASP calculation (PBE-GGA) on LiReOs after structural relaxation.

Lattice parameters (Å, degrees): 4.266 4.266 2.621 90.00 90.00 120.00
Element x y z (fractional)
Li: 0.000 0.000 0.004
Os: 0.667 0.333 0.356
Re: 0.333 0.667 0.639

Calculated values
E: -25.08 eV per cell
volume: 41 Å³/f.u.
SG: No. 156
formation energy: 0.1689 eV/atom
crystal system: trigonal
density: 15.41 g/cm3


VASP calculation (PBE-GGA) on LaZrFe2 after structural relaxation.

Lattice parameters (Å, degrees): 4.689 4.689 4.689 60.00 60.00 60.00
Element x y z (fractional)
Fe: 0.250 0.250 0.250
Fe: 0.750 0.750 0.750
Zr: 0.000 0.000 0.000
La: 0.500 0.500 0.500

Calculated values
E: -29.35 eV per cell
volume: 73 Å³/f.u.
SG: No. 225
formation energy: 0.2639 eV/atom
crystal system: cubic
density: 7.78 g/cm3